# 1
Compound: CaNb2CrP
Source: the Alexandria database
Functional: GGA-PBE
Structure: relaxed

Calculated values
Size of the total moment, μB per formula unit: 0.00
E_tot, eV per formula unit: -32.76
Energy of formation, eV/atom: 0.8832

Unit cell a=4.499 b=4.499 c=5.464 alpha=90.00 beta=90.00 gamma=90.00
Space group P4/mmm (No. 123)
Asymmetric unit:
Ca (0.000, 0.000, 0.000) x1
Nb (0.000, 0.500, 0.500) x2
Cr (0.000, 0.000, 0.500) x1
P (0.500, 0.500, 0.000) x1



# 2
Compound: Ca2NbCrS
Source: the Alexandria database
Functional: GGA-PBE
Structure: relaxed

Calculated values
Size of the total moment, μB per formula unit: 0.00
Raw formation energy, eV per atom: 0.85
E_tot, eV per formula unit: -23.59

Unit cell a=5.747 b=5.747 c=4.267 alpha=90.00 beta=90.00 gamma=90.00
Space group P4/mmm (No. 123)
Asymmetric unit:
Ca (0.000, 0.500, 0.000) x2
Nb (0.000, 0.000, 0.000) x1
Cr (0.000, 0.000, 0.500) x1
S (0.500, 0.500, 0.500) x1